! PBE Ac2MnHPd6, relaxed; values from VASP
! final energy: -5.77 eV/atom
&SYSTEM
  ibrav = 0, nat = 10, ntyp = 4
/
ATOMIC_SPECIES
Pd 106.42 Pd.upf
Ac 227.00 Ac.upf
H 1.01 H.upf
Mn 54.94 Mn.upf
CELL_PARAMETERS angstrom
7.0147 -0.0139 -0.7606
0.0106 5.9131 -0.0086
2.9577 2.9560 4.1798
ATOMIC_POSITIONS angstrom
Pd 6.4174 5.9019 1.7444
Pd 4.9405 4.4248 -0.3452
Pd 5.0425 4.4304 3.7558
Pd 3.5657 2.9534 1.6662
Pd 4.9331 1.4657 -0.3389
Pd 5.0500 7.3896 3.7496
Ac 7.0527 2.9440 1.2980
Ac 2.9304 5.9113 2.1126
H 3.5127 2.9496 -0.3846
Mn 0.0000 0.0000 0.0000

=====

! PBE AcMnH8Rh2, relaxed; values from VASP
! final energy: -4.78 eV/atom
&SYSTEM
  ibrav = 0, nat = 12, ntyp = 4
/
ATOMIC_SPECIES
H 1.01 H.upf
Rh 102.91 Rh.upf
Mn 54.94 Mn.upf
Ac 227.00 Ac.upf
CELL_PARAMETERS angstrom
-4.3744 0.3432 -1.8374
-1.1252 -2.4283 -3.9327
-3.5458 -5.1555 1.3208
ATOMIC_POSITIONS angstrom
H -3.6437 -1.2443 -2.2182
H -6.5120 -4.7221 -3.8522
H -2.5333 -2.5185 -0.5971
H -5.4016 -5.9963 -2.2312
H -2.8714 -2.8138 -3.9684
H -5.1917 -1.9553 -4.0130
H -3.8536 -5.2853 -0.4364
H -6.1739 -4.4268 -0.4809
Rh -2.0218 -1.1862 -1.5661
Rh -7.0235 -6.0544 -2.8832
Mn 0.0000 0.0000 0.0000
Ac -4.5226 -3.6203 -2.2247

=====

! PBE Ac2MnH12Rh3, relaxed; values from VASP
! final energy: -4.71 eV/atom
&SYSTEM
  ibrav = 0, nat = 18, ntyp = 4
/
ATOMIC_SPECIES
H 1.01 H.upf
Mn 54.94 Mn.upf
Ac 227.00 Ac.upf
Rh 102.91 Rh.upf
CELL_PARAMETERS angstrom
6.1316 -0.1394 -0.0989
2.9069 5.4006 -0.0989
2.9069 1.6920 5.1296
ATOMIC_POSITIONS angstrom
H 7.3556 6.3591 4.5105
H 9.1621 5.3331 1.5814
H 5.5772 3.2464 4.5584
H 9.1621 3.2555 4.5105
H 2.7832 1.6201 3.3504
H 6.3681 3.7068 0.3734
H 5.5772 5.3754 1.5569
H 7.4285 2.1950 1.5569
H 4.5898 0.5940 0.4214
H 6.3681 1.5778 3.3749
H 4.5169 4.7582 3.3749
H 2.7832 3.6976 0.4214
Mn 0.0000 0.0000 0.0000
Ac 7.4894 4.3594 3.0921
Ac 4.4560 2.5937 1.8397
Rh 1.4534 0.8460 2.5648
Rh 3.0658 -0.0697 -0.0494
Rh 1.4534 2.7003 -0.0494